Entry 1:
5
Lattice="-2.886 2.813 2.440 1.698 -1.754 4.030 3.315 3.348 0.061" Properties=species:S:1:pos:R:3 comment="CsCrRe3 PBE-GGA relaxed" crystal_system=cubic total_energy_ev_per_atom=-7.40 formation_energy_ev_per_fu=10.828 pbc="T T T"
Cr 0.000 0.000 0.000
Re -1.443 1.407 1.220
Re 0.849 -0.877 2.015
Re 1.657 1.674 0.030
Cs 1.063 2.204 3.265



Entry 2:
5
Lattice="-4.748 -0.545 -0.630 0.283 -4.484 1.746 -0.784 1.683 4.449" Properties=species:S:1:pos:R:3 comment="CsCrRe3 PBE-GGA relaxed" crystal_system=cubic total_energy_ev_per_atom=-5.11 formation_energy_ev_per_fu=22.263 pbc="T T T"
Re 0.142 -2.242 0.873
Cs 0.000 0.000 0.000
Re -0.392 0.842 2.224
Cr -2.624 -1.673 2.782
Re -2.374 -0.273 -0.315



Entry 3:
5
Lattice="-2.106 -1.880 3.857 5.934 -2.378 2.081 0.782 4.056 2.404" Properties=species:S:1:pos:R:3 comment="CsZnCr2Re PBE-GGA relaxed" crystal_system=tetragonal total_energy_ev_per_atom=-5.25 formation_energy_ev_per_fu=7.567 pbc="T T T"
Cr 0.391 2.028 1.202
Cs 2.967 -1.189 1.040
Cr -1.053 -0.940 1.929
Zn 2.305 -0.101 4.171
Re 0.000 0.000 0.000



Entry 4:
5
Lattice="-2.231 -2.394 3.627 -1.760 -3.231 -3.214 3.974 -2.775 0.614" Properties=species:S:1:pos:R:3 comment="CsCrRh3 PBE-GGA relaxed" crystal_system=cubic total_energy_ev_per_atom=-3.85 formation_energy_ev_per_fu=13.268 pbc="T T T"
Rh -0.880 -1.615 -1.607
Cr -0.009 -4.199 0.513
Rh 1.987 -1.387 0.307
Cs 0.000 0.000 0.000
Rh -1.116 -1.197 1.814



Entry 5:
4
Lattice="0.000 4.120 4.120 4.120 0.000 4.120 4.120 4.120 0.000" Properties=species:S:1:pos:R:3 comment="Cs2CrRh PBE-GGA relaxed" crystal_system=cubic total_energy_ev_per_atom=-3.36 formation_energy_ev_per_fu=5.256 pbc="T T T"
Cs 2.060 2.060 2.060
Rh 4.120 4.120 4.120
Cs 6.180 6.180 6.180
Cr 0.000 0.000 0.000



Entry 6:
5
Lattice="-0.356 4.549 1.029 -4.664 -0.362 -0.014 0.066 -1.027 4.563" Properties=species:S:1:pos:R:3 comment="CsCrRh3 PBE-GGA relaxed" crystal_system=cubic total_energy_ev_per_atom=-5.61 formation_energy_ev_per_fu=4.482 pbc="T T T"
Rh -0.178 2.275 0.514
Rh -2.332 -0.181 -0.007
Cs -2.477 1.580 2.789
Rh 0.033 -0.513 2.282
Cr 0.000 0.000 0.000